1.
The following is a PBE calculation of crystalline SrFeS2 at its relaxed geometry, from Alexandria via LeMat-Bulk.

## Properties
As for the density of states at the Fermi level: 13.91 states/eV/cell.

abc: 4.3830 4.3830 22.0526
angles: 90.00 90.00 120.00
Sites, in units of the cell vectors:
Sr (0.0000, 0.0000, 0.0000)
Sr (0.3333, 0.6667, 0.6667)
Sr (0.6667, 0.3333, 0.3333)
Fe (0.0000, 0.0000, 0.5000)
Fe (0.3333, 0.6667, 0.1667)
Fe (0.6667, 0.3333, 0.8333)
S (0.0000, 0.0000, 0.4029)
S (0.0000, 0.0000, 0.5971)
S (0.3333, 0.6667, 0.0695)
S (0.3333, 0.6667, 0.2638)
S (0.6667, 0.3333, 0.7362)
S (0.6667, 0.3333, 0.9305)

2.
The following is a PBE calculation of crystalline SrFeS2 at its relaxed geometry, from Alexandria via LeMat-Bulk.

## Properties
As for the density of states at the Fermi level: 0.45 states/eV/cell.

abc: 6.8235 6.8235 6.9201
angles: 90.00 90.00 90.00
Sites, in units of the cell vectors:
Sr (0.0000, 0.0000, 0.0000)
Sr (0.0000, 0.5000, 0.2500)
Sr (0.5000, 0.0000, 0.7500)
Sr (0.5000, 0.5000, 0.5000)
Fe (0.0000, 0.0000, 0.5000)
Fe (0.0000, 0.5000, 0.7500)
Fe (0.5000, 0.0000, 0.2500)
Fe (0.5000, 0.5000, 0.0000)
S (0.1441, 0.2500, 0.6250)
S (0.2500, 0.6441, 0.8750)
S (0.2500, 0.8559, 0.3750)
S (0.3559, 0.2500, 0.1250)
S (0.6441, 0.7500, 0.1250)
S (0.7500, 0.1441, 0.3750)
S (0.7500, 0.3559, 0.8750)
S (0.8559, 0.7500, 0.6250)

The winner here is 2, beating the second structure by 220 meV/atom.

1.
The following is a PBE calculation of crystalline FeTcS2 at its relaxed geometry, from Alexandria via LeMat-Bulk.

## Properties
As for the density of states at the Fermi level: 8.66 states/eV/cell.

abc: 5.0919 5.0919 10.1223
angles: 90.00 90.00 90.00
Sites, in units of the cell vectors:
Fe (0.0000, 0.0000, 0.0000)
Fe (0.0000, 0.5000, 0.2500)
Fe (0.5000, 0.0000, 0.7500)
Fe (0.5000, 0.5000, 0.5000)
Tc (0.0000, 0.0000, 0.5000)
Tc (0.0000, 0.5000, 0.7500)
Tc (0.5000, 0.0000, 0.2500)
Tc (0.5000, 0.5000, 0.0000)
S (0.2286, 0.2500, 0.1250)
S (0.2500, 0.7286, 0.3750)
S (0.2500, 0.7714, 0.8750)
S (0.2714, 0.2500, 0.6250)
S (0.7286, 0.7500, 0.6250)
S (0.7500, 0.2286, 0.8750)
S (0.7500, 0.2714, 0.3750)
S (0.7714, 0.7500, 0.1250)

2.
The following is a PBE calculation of crystalline FeTcS2 at its relaxed geometry, from Alexandria via LeMat-Bulk.

## Properties
As for the density of states at the Fermi level: 21.77 states/eV/cell.

abc: 5.8353 5.8353 5.8353
angles: 90.00 90.00 90.00
Sites, in units of the cell vectors:
Fe (0.0000, 0.0000, 0.0000)
Fe (0.0000, 0.5000, 0.5000)
Fe (0.5000, 0.0000, 0.5000)
Fe (0.5000, 0.5000, 0.0000)
Tc (0.0000, 0.0000, 0.5000)
Tc (0.0000, 0.5000, 0.0000)
Tc (0.5000, 0.0000, 0.0000)
Tc (0.5000, 0.5000, 0.5000)
S (0.2500, 0.2500, 0.2500)
S (0.2500, 0.2500, 0.7500)
S (0.2500, 0.7500, 0.2500)
S (0.2500, 0.7500, 0.7500)
S (0.7500, 0.2500, 0.2500)
S (0.7500, 0.2500, 0.7500)
S (0.7500, 0.7500, 0.2500)
S (0.7500, 0.7500, 0.7500)

The winner here is 1, beating the second structure by 347 meV/atom.

1.
The following is a PBE calculation of crystalline Tl3FeS at its relaxed geometry, from Alexandria via LeMat-Bulk.

## Properties
As for the density of states at the Fermi level: 15.19 states/eV/cell.

abc: 5.6287 5.6287 5.6287
angles: 90.00 90.00 90.00
Sites, in units of the cell vectors:
Tl (0.0000, 0.0000, 0.5000)
Tl (0.0000, 0.5000, 0.0000)
Tl (0.5000, 0.0000, 0.0000)
Fe (0.5000, 0.5000, 0.5000)
S (0.0000, 0.0000, 0.0000)

2.
The following is a PBE calculation of crystalline Tl3FeS at its relaxed geometry, from Alexandria via LeMat-Bulk.

## Properties
As for the density of states at the Fermi level: 10.12 states/eV/cell.

abc: 5.1469 5.1469 5.1469
angles: 90.00 90.00 90.00
Sites, in units of the cell vectors:
Tl (0.0000, 0.0000, 0.5000)
Tl (0.0000, 0.5000, 0.0000)
Tl (0.5000, 0.0000, 0.0000)
Fe (0.0000, 0.0000, 0.0000)
S (0.5000, 0.5000, 0.5000)

The winner here is 2, beating the second structure by 439 meV/atom.

1.
The following is a PBE calculation of crystalline TlFe2S2 at its relaxed geometry, from Alexandria via LeMat-Bulk.

## Properties
As for the density of states at the Fermi level: 3.40 states/eV/cell.

abc: 3.6872 3.6872 13.0507
angles: 90.00 90.00 90.00
Sites, in units of the cell vectors:
Tl (0.0000, 0.0000, 0.0000)
Tl (0.5000, 0.5000, 0.5000)
Fe (0.0000, 0.5000, 0.2500)
Fe (0.0000, 0.5000, 0.7500)
Fe (0.5000, 0.0000, 0.2500)
Fe (0.5000, 0.0000, 0.7500)
S (0.0000, 0.0000, 0.3391)
S (0.0000, 0.0000, 0.6609)
S (0.5000, 0.5000, 0.1609)
S (0.5000, 0.5000, 0.8391)

2.
The following is a PBE calculation of crystalline TlFe2S2 at its relaxed geometry, from Alexandria via LeMat-Bulk.

## Properties
As for the density of states at the Fermi level: 9.83 states/eV/cell.

abc: 3.9624 3.9624 10.6640
angles: 90.00 90.00 90.00
Sites, in units of the cell vectors:
Tl (0.0000, 0.0000, 0.0000)
Tl (0.5000, 0.5000, 0.5000)
Fe (0.0000, 0.0000, 0.3445)
Fe (0.0000, 0.0000, 0.6555)
Fe (0.5000, 0.5000, 0.1555)
Fe (0.5000, 0.5000, 0.8445)
S (0.0000, 0.5000, 0.2500)
S (0.0000, 0.5000, 0.7500)
S (0.5000, 0.0000, 0.2500)
S (0.5000, 0.0000, 0.7500)

The winner here is 1, beating the second structure by 606 meV/atom.

1.
The following is a PBE calculation of crystalline Tl2FeS at its relaxed geometry, from Alexandria via LeMat-Bulk.

## Properties
As for the density of states at the Fermi level: 27.05 states/eV/cell.

abc: 7.2148 7.2148 7.2148
angles: 90.00 90.00 90.00
Sites, in units of the cell vectors:
Tl (0.2500, 0.2500, 0.2500)
Tl (0.2500, 0.2500, 0.7500)
Tl (0.2500, 0.7500, 0.2500)
Tl (0.2500, 0.7500, 0.7500)
Tl (0.7500, 0.2500, 0.2500)
Tl (0.7500, 0.2500, 0.7500)
Tl (0.7500, 0.7500, 0.2500)
Tl (0.7500, 0.7500, 0.7500)
Fe (0.0000, 0.0000, 0.0000)
Fe (0.0000, 0.5000, 0.5000)
Fe (0.5000, 0.0000, 0.5000)
Fe (0.5000, 0.5000, 0.0000)
S (0.0000, 0.0000, 0.5000)
S (0.0000, 0.5000, 0.0000)
S (0.5000, 0.0000, 0.0000)
S (0.5000, 0.5000, 0.5000)

2.
The following is a PBE calculation of crystalline Tl2FeS at its relaxed geometry, from Alexandria via LeMat-Bulk.

## Properties
As for the density of states at the Fermi level: 10.13 states/eV/cell.

abc: 6.5641 6.5641 11.3172
angles: 90.00 90.00 90.00
Sites, in units of the cell vectors:
Tl (0.2417, 0.2500, 0.1250)
Tl (0.2500, 0.7417, 0.3750)
Tl (0.2500, 0.7583, 0.8750)
Tl (0.2583, 0.2500, 0.6250)
Tl (0.7417, 0.7500, 0.6250)
Tl (0.7500, 0.2417, 0.8750)
Tl (0.7500, 0.2583, 0.3750)
Tl (0.7583, 0.7500, 0.1250)
Fe (0.0000, 0.0000, 0.0000)
Fe (0.0000, 0.5000, 0.2500)
Fe (0.5000, 0.0000, 0.7500)
Fe (0.5000, 0.5000, 0.5000)
S (0.0000, 0.0000, 0.5000)
S (0.0000, 0.5000, 0.7500)
S (0.5000, 0.0000, 0.2500)
S (0.5000, 0.5000, 0.0000)

The winner here is 2, beating the second structure by 31 meV/atom.

1.
The following is a PBE calculation of crystalline V3FeS at its relaxed geometry, from Alexandria via LeMat-Bulk.

## Properties
As for the density of states at the Fermi level: 6.49 states/eV/cell.

abc: 4.3219 4.3219 4.3219
angles: 90.00 90.00 90.00
Sites, in units of the cell vectors:
V (0.0000, 0.0000, 0.5000)
V (0.0000, 0.5000, 0.0000)
V (0.5000, 0.0000, 0.0000)
Fe (0.0000, 0.0000, 0.0000)
S (0.5000, 0.5000, 0.5000)

2.
The following is a PBE calculation of crystalline V3FeS at its relaxed geometry, from Alexandria via LeMat-Bulk.

## Properties
As for the density of states at the Fermi level: 6.89 states/eV/cell.

abc: 4.2608 4.2608 4.2608
angles: 90.00 90.00 90.00
Sites, in units of the cell vectors:
V (0.0000, 0.0000, 0.5000)
V (0.0000, 0.5000, 0.0000)
V (0.5000, 0.0000, 0.0000)
Fe (0.5000, 0.5000, 0.5000)
S (0.0000, 0.0000, 0.0000)

The winner here is 2, beating the second structure by 483 meV/atom.

1.
The following is a PBE calculation of crystalline Fe3WS at its relaxed geometry, from Alexandria via LeMat-Bulk.

## Properties
As for the density of states at the Fermi level: 4.70 states/eV/cell.

abc: 4.0814 4.0814 4.0814
angles: 90.00 90.00 90.00
Sites, in units of the cell vectors:
Fe (0.0000, 0.0000, 0.5000)
Fe (0.0000, 0.5000, 0.0000)
Fe (0.5000, 0.0000, 0.0000)
W (0.5000, 0.5000, 0.5000)
S (0.0000, 0.0000, 0.0000)

2.
The following is a PBE calculation of crystalline Fe3WS at its relaxed geometry, from Alexandria via LeMat-Bulk.

## Properties
As for the density of states at the Fermi level: 7.96 states/eV/cell.

abc: 4.5342 4.5342 4.5342
angles: 90.00 90.00 90.00
Sites, in units of the cell vectors:
Fe (0.0000, 0.0000, 0.5000)
Fe (0.0000, 0.5000, 0.0000)
Fe (0.5000, 0.0000, 0.0000)
W (0.0000, 0.0000, 0.0000)
S (0.5000, 0.5000, 0.5000)

The winner here is 1, beating the second structure by 1099 meV/atom.

1.
The following is a PBE calculation of crystalline YFe2S2 at its relaxed geometry, from Alexandria via LeMat-Bulk.

## Properties
As for the density of states at the Fermi level: 12.60 states/eV/cell.

abc: 6.9999 6.9999 3.0179
angles: 90.00 90.00 90.00
Sites, in units of the cell vectors:
Y (0.0000, 0.0000, 0.0000)
Y (0.5000, 0.5000, 0.0000)
Fe (0.1197, 0.3803, 0.5000)
Fe (0.3803, 0.8803, 0.5000)
Fe (0.6197, 0.1197, 0.5000)
Fe (0.8803, 0.6197, 0.5000)
S (0.1429, 0.6429, 0.0000)
S (0.3571, 0.1429, 0.0000)
S (0.6429, 0.8571, 0.0000)
S (0.8571, 0.3571, 0.0000)

2.
The following is a PBE calculation of crystalline YFe2S2 at its relaxed geometry, from Alexandria via LeMat-Bulk.

## Properties
As for the density of states at the Fermi level: 7.57 states/eV/cell.

abc: 6.9055 6.9055 3.8732
angles: 90.00 90.00 90.00
Sites, in units of the cell vectors:
Y (0.0000, 0.0000, 0.0000)
Y (0.5000, 0.5000, 0.0000)
Fe (0.1028, 0.3972, 0.0000)
Fe (0.3972, 0.8972, 0.0000)
Fe (0.6028, 0.1028, 0.0000)
Fe (0.8972, 0.6028, 0.0000)
S (0.1894, 0.3106, 0.5000)
S (0.3106, 0.8106, 0.5000)
S (0.6894, 0.1894, 0.5000)
S (0.8106, 0.6894, 0.5000)

The winner here is 2, beating the second structure by 111 meV/atom.

1.
The following is a PBE calculation of crystalline YFeS2 at its relaxed geometry, from Alexandria via LeMat-Bulk.

## Properties
As for the density of states at the Fermi level: 11.16 states/eV/cell.

abc: 5.3241 5.3241 11.7652
angles: 90.00 90.00 90.00
Sites, in units of the cell vectors:
Y (0.0000, 0.0000, 0.0000)
Y (0.0000, 0.5000, 0.2500)
Y (0.5000, 0.0000, 0.7500)
Y (0.5000, 0.5000, 0.5000)
Fe (0.0000, 0.0000, 0.5000)
Fe (0.0000, 0.5000, 0.7500)
Fe (0.5000, 0.0000, 0.2500)
Fe (0.5000, 0.5000, 0.0000)
S (0.1754, 0.2500, 0.6250)
S (0.2500, 0.6754, 0.8750)
S (0.2500, 0.8246, 0.3750)
S (0.3246, 0.2500, 0.1250)
S (0.6754, 0.7500, 0.1250)
S (0.7500, 0.1754, 0.3750)
S (0.7500, 0.3246, 0.8750)
S (0.8246, 0.7500, 0.6250)

2.
The following is a PBE calculation of crystalline YFeS2 at its relaxed geometry, from Alexandria via LeMat-Bulk.

## Properties
As for the density of states at the Fermi level: 0.00 states/eV/cell.

abc: 6.5147 6.5147 6.5147
angles: 90.00 90.00 90.00
Sites, in units of the cell vectors:
Y (0.0000, 0.0000, 0.0000)
Y (0.0000, 0.5000, 0.5000)
Y (0.5000, 0.0000, 0.5000)
Y (0.5000, 0.5000, 0.0000)
Fe (0.0000, 0.0000, 0.5000)
Fe (0.0000, 0.5000, 0.0000)
Fe (0.5000, 0.0000, 0.0000)
Fe (0.5000, 0.5000, 0.5000)
S (0.2500, 0.2500, 0.2500)
S (0.2500, 0.2500, 0.7500)
S (0.2500, 0.7500, 0.2500)
S (0.2500, 0.7500, 0.7500)
S (0.7500, 0.2500, 0.2500)
S (0.7500, 0.2500, 0.7500)
S (0.7500, 0.7500, 0.2500)
S (0.7500, 0.7500, 0.7500)

The winner here is 2, beating the second structure by 45 meV/atom.

1.
The following is a PBE calculation of crystalline YFe3S at its relaxed geometry, from Alexandria via LeMat-Bulk.

## Properties
As for the density of states at the Fermi level: 7.09 states/eV/cell.

abc: 4.1694 4.1694 4.1694
angles: 90.00 90.00 90.00
Sites, in units of the cell vectors:
Y (0.0000, 0.0000, 0.0000)
Fe (0.0000, 0.5000, 0.5000)
Fe (0.5000, 0.0000, 0.5000)
Fe (0.5000, 0.5000, 0.0000)
S (0.5000, 0.5000, 0.5000)

2.
The following is a PBE calculation of crystalline YFe3S at its relaxed geometry, from Alexandria via LeMat-Bulk.

## Properties
As for the density of states at the Fermi level: 5.17 states/eV/cell.

abc: 4.7749 4.7749 4.7749
angles: 90.00 90.00 90.00
Sites, in units of the cell vectors:
Y (0.0000, 0.0000, 0.0000)
Fe (0.0000, 0.0000, 0.5000)
Fe (0.0000, 0.5000, 0.0000)
Fe (0.5000, 0.0000, 0.0000)
S (0.5000, 0.5000, 0.5000)

The winner here is 1, beating the second structure by 1928 meV/atom.

1.
The following is a PBE calculation of crystalline ZnFe3S at its relaxed geometry, from Alexandria via LeMat-Bulk.

## Properties
As for the density of states at the Fermi level: 2.18 states/eV/cell.

abc: 4.1268 4.1268 4.1268
angles: 90.00 90.00 90.00
Sites, in units of the cell vectors:
Zn (0.0000, 0.0000, 0.0000)
Fe (0.0000, 0.5000, 0.5000)
Fe (0.5000, 0.0000, 0.5000)
Fe (0.5000, 0.5000, 0.0000)
S (0.5000, 0.5000, 0.5000)

2.
The following is a PBE calculation of crystalline ZnFe3S at its relaxed geometry, from Alexandria via LeMat-Bulk.

## Properties
As for the density of states at the Fermi level: 9.80 states/eV/cell.

abc: 4.4447 4.4447 4.4447
angles: 90.00 90.00 90.00
Sites, in units of the cell vectors:
Zn (0.0000, 0.0000, 0.0000)
Fe (0.0000, 0.0000, 0.5000)
Fe (0.0000, 0.5000, 0.0000)
Fe (0.5000, 0.0000, 0.0000)
S (0.5000, 0.5000, 0.5000)

The winner here is 1, beating the second structure by 1041 meV/atom.

1.
The following is a PBE calculation of crystalline ZrFeS3 at its relaxed geometry, from Alexandria via LeMat-Bulk.

## Properties
As for the density of states at the Fermi level: 6.84 states/eV/cell.

abc: 4.9477 4.9477 4.9477
angles: 90.00 90.00 90.00
Sites, in units of the cell vectors:
Zr (0.0000, 0.0000, 0.0000)
Fe (0.5000, 0.5000, 0.5000)
S (0.0000, 0.0000, 0.5000)
S (0.0000, 0.5000, 0.0000)
S (0.5000, 0.0000, 0.0000)

2.
The following is a PBE calculation of crystalline ZrFeS3 at its relaxed geometry, from Alexandria via LeMat-Bulk.

## Properties
As for the density of states at the Fermi level: 6.49 states/eV/cell.

abc: 4.3898 4.3898 4.3898
angles: 90.00 90.00 90.00
Sites, in units of the cell vectors:
Zr (0.0000, 0.0000, 0.0000)
Fe (0.5000, 0.5000, 0.5000)
S (0.0000, 0.5000, 0.5000)
S (0.5000, 0.0000, 0.5000)
S (0.5000, 0.5000, 0.0000)

The winner here is 2, beating the second structure by 160 meV/atom.